[1]
DFT (GGA-PBE) results for crystalline LuAgPb2 at its relaxed geometry.

Structure (POSCAR):
```
LuAgPb2
1.0
-3.6914 -0.5281 0.3570
0.4212 -0.4465 3.6954
-0.9437 7.2625 0.9851
Lu Pb Ag
1 2 1
direct
0.5000 0.5000 0.5000
0.0000 0.0000 0.2340
0.0000 0.0000 0.7660
0.5000 0.5000 0.0000
```

- crystal system = tetragonal
- DFT formation energy (eV/atom) = -0.047
- M_tot (μB per formula unit) = 0.00
- E (eV per cell) = -14.98
- V (A^3/atom) = 25.92

[2]
DFT (GGA-PBE) results for crystalline Cs2Ca2PaO6 at its relaxed geometry.

Structure (POSCAR):
```
Cs2Ca2PaO6
1.0
-4.6405 0.6734 4.7235
1.5962 -0.9448 6.3921
0.4749 6.2306 4.2675
O Cs Pa Ca
6 2 1 2
direct
0.7833 0.2280 0.2054
0.7720 0.2167 0.7946
0.7833 0.7833 0.2054
0.2167 0.2167 0.7946
0.2167 0.7720 0.7946
0.2280 0.7833 0.2054
0.8030 0.8030 0.5909
0.1970 0.1970 0.4091
0.0000 0.0000 0.0000
0.6124 0.6124 0.1629
0.3876 0.3876 0.8371
```

- crystal system = trigonal
- E_form (uncorrected) (eV/atom) = -2.41
- M_tot (μB per formula unit) = 1.14
- E (eV per cell) = -71.47
- V (A^3/atom) = 22.73

[3]
DFT (GGA-PBE) results for crystalline KY at its relaxed geometry.

Structure (POSCAR):
```
KY
1.0
3.7488 0.0000 0.0000
0.0000 7.2385 0.0000
0.0000 0.0000 18.4796
K Y
6 6
direct
0.0000 0.0623 0.0000
0.0000 0.9497 0.3328
0.5000 0.0503 0.1672
0.5000 0.0503 0.8328
0.5000 0.9377 0.5000
0.0000 0.9497 0.6672
0.5000 0.4598 0.6670
0.0000 0.5402 0.8330
0.0000 0.5402 0.1670
0.5000 0.4598 0.3330
0.5000 0.5583 0.0000
0.0000 0.4417 0.5000
```

- crystal system = orthorhombic
- DFT formation energy (eV/atom) = 0.496
- M_tot (μB per formula unit) = 0.00
- E (eV per cell) = -39.42
- V (A^3/atom) = 41.79

[4]
DFT (GGA-PBE) results for crystalline Dy6BiRu2 at its relaxed geometry.

Structure (POSCAR):
```
Dy6BiRu2
1.0
-8.2171 0.6611 2.2825
2.7022 -8.1094 -0.3219
5.0445 3.8063 5.7649
Dy Ru Bi
12 4 2
direct
0.1046 0.2861 0.8185
0.2138 0.7616 0.9754
0.7862 0.7616 0.5478
0.8954 0.7139 0.1815
0.6856 0.0160 0.3304
0.4677 0.2861 0.1815
0.2138 0.2384 0.4522
0.3144 0.6448 0.3304
0.5323 0.7139 0.8185
0.7862 0.2384 0.0246
0.6856 0.3552 0.6696
0.3144 0.9840 0.6696
0.5000 0.3731 0.8731
0.5000 0.6269 0.1269
0.3319 0.0000 0.3319
0.6681 0.0000 0.6681
0.0000 0.0000 0.0000
0.0000 0.5000 0.5000
```

- crystal system = orthorhombic
- DFT formation energy (eV/atom) = -0.429
- M_tot (μB per formula unit) = 0.00
- E (eV per cell) = -107.81
- V (A^3/atom) = 26.64